[1]
Entry from the Alexandria database: Mn2HPt after structural relaxation (PBE).

Cell lengths 2.6829, 2.6829, 18.8815 Å; angles 90.00, 90.00, 120.00 degrees
With the nearest neighbours (Å) after each atom.
Sites, in units of the cell vectors:
1 Mn 0.0000 0.0000 0.2176  3 H 1.82
2 Mn 0.0000 0.0000 0.7824  3 H 1.82
3 Mn 0.3333 0.6667 0.4491  3 H 1.82
4 Mn 0.3333 0.6667 0.8843  3 H 1.82
5 Mn 0.6667 0.3333 0.1157  3 H 1.82
6 Mn 0.6667 0.3333 0.5509  3 H 1.82
7 H 0.0000 0.0000 0.5000  6 Mn 1.82
8 H 0.3333 0.6667 0.1667  6 Mn 1.82
9 H 0.6667 0.3333 0.8333  6 Mn 1.82
10 Pt 0.0000 0.0000 0.0000  6 Mn 2.68, 6 Pt 2.68
11 Pt 0.3333 0.6667 0.6667  6 Mn 2.68, 6 Pt 2.68
12 Pt 0.6667 0.3333 0.3333  6 Mn 2.68, 6 Pt 2.68

Values from the calculation:
Polymorph energy (0 for the lowest one)   0.000 eV/atom

***

[2]
Entry from the Alexandria database: LaNdAlAu after structural relaxation (PBE).

Cell lengths 7.5689, 7.5689, 7.5689 Å; angles 90.00, 90.00, 90.00 degrees
With the nearest neighbours (Å) after each atom.
Sites, in units of the cell vectors:
1 La 0.0000 0.0000 0.0000  4 Au 3.28, 4 Al 3.28
2 La 0.0000 0.5000 0.5000  4 Au 3.28, 4 Al 3.28
3 La 0.5000 0.0000 0.5000  4 Au 3.28, 4 Al 3.28
4 La 0.5000 0.5000 0.0000  4 Au 3.28, 4 Al 3.28
5 Nd 0.0000 0.0000 0.5000  4 Al 3.28, 4 Au 3.28
6 Nd 0.0000 0.5000 0.0000  4 Al 3.28, 4 Au 3.28
7 Nd 0.5000 0.0000 0.0000  4 Al 3.28, 4 Au 3.28
8 Nd 0.5000 0.5000 0.5000  4 Al 3.28, 4 Au 3.28
9 Al 0.2500 0.2500 0.7500  4 La 3.28, 4 Nd 3.28
10 Al 0.2500 0.7500 0.2500  4 La 3.28, 4 Nd 3.28
11 Al 0.7500 0.2500 0.2500  4 La 3.28, 4 Nd 3.28
12 Al 0.7500 0.7500 0.7500  4 La 3.28, 4 Nd 3.28
13 Au 0.2500 0.2500 0.2500  4 Nd 3.28, 4 La 3.28
14 Au 0.2500 0.7500 0.7500  4 La 3.28, 4 Nd 3.28
15 Au 0.7500 0.2500 0.7500  4 La 3.28, 4 Nd 3.28
16 Au 0.7500 0.7500 0.2500  4 La 3.28, 4 Nd 3.28

Values from the calculation:
Energy relative to the elements   -11.199 kcal/mol of atoms

***

[3]
Entry from the Alexandria database: Nd2AgRh2 after structural relaxation (PBE).

Cell lengths 7.5418, 7.5418, 3.9139 Å; angles 90.00, 90.00, 90.00 degrees
With the nearest neighbours (Å) after each atom.
Sites, in units of the cell vectors:
1 Nd 0.1709 0.3291 0.0000  6 Rh 2.87-3.02
2 Nd 0.3291 0.8291 0.0000  6 Rh 2.87-3.02
3 Nd 0.6709 0.1709 0.0000  6 Rh 2.87-3.02
4 Nd 0.8291 0.6709 0.0000  6 Rh 2.87-3.02
5 Ag 0.0000 0.0000 0.5000  4 Rh 2.95
6 Ag 0.5000 0.5000 0.5000  4 Rh 2.95
7 Rh 0.1319 0.6319 0.5000  1 Rh 2.81, 6 Nd 2.87-3.02, 2 Ag 2.95
8 Rh 0.3681 0.1319 0.5000  1 Rh 2.81, 6 Nd 2.87-3.02, 2 Ag 2.95
9 Rh 0.6319 0.8681 0.5000  1 Rh 2.81, 6 Nd 2.87-3.02, 2 Ag 2.95
10 Rh 0.8681 0.3681 0.5000  1 Rh 2.81, 6 Nd 2.87-3.02, 2 Ag 2.95

Values from the calculation:
Polymorph energy (0 for the lowest one)   0.011 eV/atom
Energy relative to the elements   -12.650 kcal/mol of atoms

***

[4]
Entry from the Alexandria database: IrBr after structural relaxation (PBE).

Cell lengths 5.7365, 5.7365, 5.7365 Å; angles 90.00, 90.00, 90.00 degrees
With the nearest neighbours (Å) after each atom.
Sites, in units of the cell vectors:
1 Ir 0.0000 0.0000 0.0000  4 Br 2.48
2 Ir 0.0000 0.5000 0.5000  4 Br 2.48
3 Ir 0.5000 0.0000 0.5000  4 Br 2.48
4 Ir 0.5000 0.5000 0.0000  4 Br 2.48
5 Br 0.2500 0.2500 0.7500  4 Ir 2.48
6 Br 0.2500 0.7500 0.2500  4 Ir 2.48
7 Br 0.7500 0.2500 0.2500  4 Ir 2.48
8 Br 0.7500 0.7500 0.7500  4 Ir 2.48

Values from the calculation:
Polymorph energy (0 for the lowest one)   1.041 eV/atom
Raw formation energy   1.308 eV/atom

***

Number 1: Fermi-level density of states 12.1 states/eV/cell, E_tot -6.972 eV/atom. Number 2: Fermi-level density of states 19.0 states/eV/cell, E_tot -4.664 eV/atom. Number 3: Fermi-level density of states 5.2 states/eV/cell, E_tot -5.967 eV/atom. Number 4: Fermi-level density of states 15.2 states/eV/cell, E_tot -3.959 eV/atom.